1.
A PBEsol-optimized structure of Lu2PbS4. Source: Alexandria via LeMat-Bulk, functional meta-GGA SCAN.

For the electronic total energy, the calculation gives -33.982 eV per atom. As for the formation energy without anion corrections: -1244 kJ/mol of formula units.

The space group is Pnma (No. 62) and the conventional cell measures 11.814, 3.846 and 13.913 Å, with angles of 90.00, 90.00 and 90.00 degrees. The inequivalent atoms are Lu at (0.060, 0.250, 0.113), Lu at (0.086, 0.250, 0.596), Pb at (0.246, 0.250, 0.332), S at (0.035, 0.750, 0.716), S at (0.089, 0.250, 0.926), S at (0.126, 0.750, 0.468) and S at (0.203, 0.750, 0.166).

2.
A PBEsol-optimized structure of LuPd. Source: Alexandria via LeMat-Bulk, functional meta-GGA SCAN.

For the electronic total energy, the calculation gives -45.130 eV per atom.

The space group is Pm-3m (No. 221) and the conventional cell measures 3.381, 3.381 and 3.381 Å, with angles of 90.00, 90.00 and 90.00 degrees. The inequivalent atoms are Lu at (0.000, 0.000, 0.000) and Pd at (0.500, 0.500, 0.500).

3.
A PBEsol-optimized structure of Lu2PdRh. Source: Alexandria via LeMat-Bulk, functional meta-GGA SCAN.

For the electronic total energy, the calculation gives -45.422 eV per atom.

The space group is Fm-3m (No. 225) and the conventional cell measures 6.674, 6.674 and 6.674 Å, with angles of 90.00, 90.00 and 90.00 degrees. The inequivalent atoms are Lu at (0.250, 0.250, 0.250), Pd at (0.000, 0.000, 0.000) and Rh at (0.000, 0.000, 0.500).